GGA-PBEsol Zn2MoOsO, relaxed; V = 16.8 A^3/atom; formation energy without anion corrections = 0.9879 eV per atom; mass density = 8.57 g/cm3; electronic total energy = -5.492 eV per atom; spin magnetization = 0.197 μB per atom; space-group type = No. 123
1.0
4.858 0.000 0.000
0.000 4.858 0.000
0.000 0.000 3.556
Zn Mo Os O
2 1 1 1
direct
0.000 0.500 0.000
0.500 0.000 0.000
0.000 0.000 0.000
0.500 0.500 0.500
0.000 0.000 0.500

GGA-PBEsol SrCd2Tc, relaxed; V = 21.6 A^3/atom; energy above the lowest structure with this stoichiometry = 267 meV per atom; mass density = 7.89 g/cm3; electronic total energy = -3.229 eV per atom; spin magnetization = 0.259 μB per atom; space-group type = No. 216; calculated formation energy = 0.6460 eV per atom
1.0
0.000 3.509 3.509
3.509 0.000 3.509
3.509 3.509 0.000
Sr Cd Tc
1 2 1
direct
0.000 0.000 0.000
0.250 0.250 0.250
0.500 0.500 0.500
0.750 0.750 0.750